InIrAu2: PBEsol geometry, meta-GGA SCAN.

abc: 2.8855 2.8855 9.7523
angles: 90.00 90.00 121.37
Closest atoms and distances in Å follow each position.
Positions (direct):
In 0.0000 0.0000 0.0000  6 In 2.83-2.89, 4 Au 2.90
Ir 0.0000 0.0000 0.5000  4 Au 2.74, 6 Ir 2.83-2.89
Au 0.5000 0.5000 0.2597  2 Ir 2.74, 6 Au 2.83-2.89, 2 In 2.90
Au 0.5000 0.5000 0.7403  2 Ir 2.74, 6 Au 2.83-2.89, 2 In 2.90

Formation enthalpy at 0 K in eV per formula unit: 1.39

---

Sr2MgAs: PBEsol geometry, meta-GGA SCAN.

abc: 6.4506 6.4506 6.4506
angles: 138.01 138.01 60.89
Closest atoms and distances in Å follow each position.
Positions (direct):
Sr 0.0000 0.0000 0.0000  4 As 3.27, 4 Sr 3.62, 4 Mg 3.62
Sr 0.7500 0.2500 0.5000  4 Mg 3.27, 4 As 3.62, 4 Sr 3.62
Mg 0.2500 0.7500 0.5000  8 Sr 3.27-3.62, 4 As 3.62
As 0.5000 0.5000 0.0000  8 Sr 3.27-3.62, 4 Mg 3.62

Distance to the lowest polymorph of the same formula in kJ/mol of atoms: 7.27
Formation enthalpy at 0 K in eV per formula unit: -1.55

---

RbCo3Ag: PBEsol geometry, meta-GGA SCAN.

abc: 4.8056 4.8056 4.8056
angles: 90.00 90.00 90.00
Closest atoms and distances in Å follow each position.
Positions (direct):
Rb 0.0000 0.0000 0.0000  12 Co 3.40
Co 0.0000 0.5000 0.5000  2 Ag 2.40
Co 0.5000 0.0000 0.5000  2 Ag 2.40
Co 0.5000 0.5000 0.0000  2 Ag 2.40
Ag 0.5000 0.5000 0.5000  6 Co 2.40

Formation enthalpy at 0 K in eV per formula unit: 6.72

---

KLiCo2: PBEsol geometry, meta-GGA SCAN.

abc: 5.4811 5.4811 2.5670
angles: 90.00 90.00 126.40
Closest atoms and distances in Å follow each position.
Positions (direct):
K 0.0000 0.0000 0.0000  2 Li 2.47, 2 K 2.57
Li 0.5000 0.5000 0.0000  2 K 2.47, 2 Li 2.57
Co 0.0000 0.5000 0.5000  4 Co 2.47-2.57
Co 0.5000 0.0000 0.5000  4 Co 2.47-2.57

Distance to the lowest polymorph of the same formula in kJ/mol of atoms: 6.36
Formation enthalpy at 0 K in eV per formula unit: 3.72

---

TlTc3Pb: PBEsol geometry, meta-GGA SCAN.

abc: 4.9358 4.9358 4.9358
angles: 90.00 90.00 90.00
Closest atoms and distances in Å follow each position.
Positions (direct):
Tl 0.0000 0.0000 0.0000  12 Tc 3.49
Tc 0.0000 0.5000 0.5000  2 Pb 2.47
Tc 0.5000 0.0000 0.5000  2 Pb 2.47
Tc 0.5000 0.5000 0.0000  2 Pb 2.47
Pb 0.5000 0.5000 0.5000  6 Tc 2.47

Formation enthalpy at 0 K in eV per formula unit: 11.41

---

NaYAu3: PBEsol geometry, meta-GGA SCAN.

abc: 5.3684 5.3684 5.3684
angles: 90.00 90.00 90.00
Closest atoms and distances in Å follow each position.
Positions (direct):
Na 0.0000 0.0000 0.0000  12 Au 3.80
Y 0.5000 0.5000 0.5000  6 Au 2.68
Au 0.0000 0.5000 0.5000  2 Y 2.68
Au 0.5000 0.0000 0.5000  2 Y 2.68
Au 0.5000 0.5000 0.0000  2 Y 2.68

Formation enthalpy at 0 K in eV per formula unit: -0.41

---

Ba2MgAu: PBEsol geometry, meta-GGA SCAN.

abc: 6.8617 6.8617 6.8617
angles: 146.34 130.28 61.39
Closest atoms and distances in Å follow each position.
Positions (direct):
Ba 0.0000 0.0000 0.0000  4 Au 3.54, 2 Ba 3.64, 2 Mg 3.73
Ba 0.6884 0.1884 0.5000  2 Au 3.38, 2 Ba 3.64, 4 Mg 3.74
Mg 0.3001 0.8001 0.5000  2 Au 2.72
Au 0.4570 0.4570 0.0000  2 Mg 2.72

Formation enthalpy at 0 K in eV per formula unit: -1.75

---

ZrBeHg3: PBEsol geometry, meta-GGA SCAN.

abc: 4.5884 4.5884 4.5884
angles: 90.00 90.00 90.00
Closest atoms and distances in Å follow each position.
Positions (direct):
Zr 0.0000 0.0000 0.0000  12 Hg 3.24
Be 0.5000 0.5000 0.5000  6 Hg 2.29
Hg 0.0000 0.5000 0.5000  2 Be 2.29
Hg 0.5000 0.0000 0.5000  2 Be 2.29
Hg 0.5000 0.5000 0.0000  2 Be 2.29

Formation enthalpy at 0 K in eV per formula unit: 1.04

---

Ca2ScCr: PBEsol geometry, meta-GGA SCAN.

abc: 5.2888 5.2888 5.2888
angles: 60.00 60.00 60.00
Closest atoms and distances in Å follow each position.
Positions (direct):
Ca 0.0000 0.0000 0.0000  4 Ca 3.24, 4 Sc 3.24
Ca 0.2500 0.2500 0.2500  4 Cr 3.24, 4 Ca 3.24
Sc 0.7500 0.7500 0.7500  4 Cr 3.24, 4 Ca 3.24
Cr 0.5000 0.5000 0.5000  4 Sc 3.24, 4 Ca 3.24

Distance to the lowest polymorph of the same formula in kJ/mol of atoms: 13.31
Formation enthalpy at 0 K in eV per formula unit: 1.31

---

Tc2P: PBEsol geometry, meta-GGA SCAN.

abc: 5.8115 3.9485 6.8865
angles: 90.00 90.00 90.00
Closest atoms and distances in Å follow each position.
Positions (direct):
Tc 0.0086 0.2500 0.1689  3 P 2.32-2.49
Tc 0.1405 0.2500 0.5734  4 P 2.29-2.42
Tc 0.3595 0.7500 0.0734  4 P 2.29-2.42
Tc 0.4914 0.7500 0.6689  3 P 2.32-2.49
Tc 0.5086 0.2500 0.3311  3 P 2.32-2.49
Tc 0.6405 0.2500 0.9266  4 P 2.29-2.42
Tc 0.8595 0.7500 0.4266  4 P 2.29-2.42
Tc 0.9914 0.7500 0.8311  3 P 2.32-2.49
P 0.2418 0.2500 0.8950  7 Tc 2.29-2.49
P 0.2582 0.7500 0.3950  7 Tc 2.29-2.49
P 0.7418 0.2500 0.6050  7 Tc 2.29-2.49
P 0.7582 0.7500 0.1050  7 Tc 2.29-2.49

Distance to the lowest polymorph of the same formula in kJ/mol of atoms: 0.00
Formation enthalpy at 0 K in eV per formula unit: -1.40

---

CdSiN3: PBEsol geometry, meta-GGA SCAN.

abc: 4.1576 4.1576 4.1576
angles: 90.00 90.00 90.00
Closest atoms and distances in Å follow each position.
Positions (direct):
Cd 0.0000 0.0000 0.0000  6 N 2.08
Si 0.5000 0.5000 0.5000  12 N 2.94
N 0.0000 0.0000 0.5000  2 Cd 2.08
N 0.0000 0.5000 0.0000  2 Cd 2.08
N 0.5000 0.0000 0.0000  2 Cd 2.08

ΔE_f (raw) in kcal/mol of atoms: 57.63

---

Na2AlGe7O16: PBEsol geometry, meta-GGA SCAN.

abc: 7.4517 7.8958 7.9476
angles: 115.86 100.41 106.70
Closest atoms and distances in Å follow each position.
Positions (direct):
Na 0.0000 0.0000 0.0000  4 O 2.35-2.52
Na 0.2540 0.5186 0.5058  5 O 2.35-2.58
Al 0.3287 0.4183 0.1003  4 O 1.73-1.77
Ge 0.3603 0.0846 0.4497  4 O 1.75-1.79
Ge 0.4359 0.0465 0.8289  4 O 1.73-1.78
Ge 0.4807 0.8122 0.0527  4 O 1.71-1.79
Ge 0.7572 0.6955 0.4557  4 O 1.73-1.79
Ge 0.8054 0.4660 0.6848  4 O 1.77-1.79
Ge 0.8997 0.4391 0.0784  4 O 1.75-1.78
Ge 0.9019 0.0775 0.4055  4 O 1.77-1.79
O 0.1012 0.3826 0.1465  1 Ge 1.75, 1 Al 1.77
O 0.1443 0.1313 0.3852  2 Ge 1.79
O 0.2926 0.1618 0.9438  1 Ge 1.73, 1 Al 1.76
O 0.3463 0.9355 0.5647  2 Ge 1.77-1.78
O 0.3878 0.5573 0.9843  1 Ge 1.71, 1 Al 1.73
O 0.3953 0.9757 0.2200  2 Ge 1.75-1.77
O 0.3994 0.8130 0.8285  2 Ge 1.78
O 0.5028 0.5383 0.3441  1 Ge 1.73, 1 Al 1.77
O 0.5458 0.3383 0.6262  2 Ge 1.77
O 0.6966 0.1945 0.9433  2 Ge 1.76
O 0.7488 0.9285 0.1466  2 Ge 1.78-1.79
O 0.8188 0.9629 0.5414  2 Ge 1.77-1.79
O 0.8515 0.6996 0.6811  2 Ge 1.78-1.79
O 0.8995 0.6287 0.3030  2 Ge 1.76
O 0.9137 0.3339 0.5171  2 Ge 1.78-1.79
O 0.9386 0.5608 0.9376  2 Ge 1.77-1.78

ΔE_f (raw) in kcal/mol of atoms: -43.75

---

Eu3Sn2Pd2: PBEsol geometry, meta-GGA SCAN.

abc: 5.8994 8.5352 13.8338
angles: 90.00 90.00 90.00
Closest atoms and distances in Å follow each position.
Positions (direct):
Eu 0.1439 0.2466 0.2500  5 Sn 3.22-3.46, 4 Pd 3.27-3.29
Eu 0.1439 0.2534 0.7500  5 Sn 3.22-3.46, 4 Pd 3.27-3.29
Eu 0.3499 0.6058 0.0976  3 Pd 2.99-3.34, 2 Sn 3.26
Eu 0.3499 0.6058 0.4024  3 Pd 2.99-3.34, 2 Sn 3.26
Eu 0.3499 0.8942 0.5976  3 Pd 2.99-3.34, 2 Sn 3.26
Eu 0.3499 0.8942 0.9024  3 Pd 2.99-3.34, 2 Sn 3.26
Eu 0.6501 0.1058 0.0976  3 Pd 2.99-3.34, 2 Sn 3.26
Eu 0.6501 0.1058 0.4024  3 Pd 2.99-3.34, 2 Sn 3.26
Eu 0.6501 0.3942 0.5976  3 Pd 2.99-3.34, 2 Sn 3.26
Eu 0.6501 0.3942 0.9024  3 Pd 2.99-3.34, 2 Sn 3.26
Eu 0.8561 0.7466 0.2500  5 Sn 3.22-3.46, 4 Pd 3.27-3.29
Eu 0.8561 0.7534 0.7500  5 Sn 3.22-3.46, 4 Pd 3.27-3.29
Sn 0.1603 0.2500 0.0000  4 Pd 2.74-2.76
Sn 0.1603 0.2500 0.5000  4 Pd 2.74-2.76
Sn 0.3559 0.6024 0.7500  2 Pd 2.68
Sn 0.3559 0.8976 0.2500  2 Pd 2.68
Sn 0.6441 0.1024 0.7500  2 Pd 2.68
Sn 0.6441 0.3976 0.2500  2 Pd 2.68
Sn 0.8397 0.7500 0.0000  4 Pd 2.74-2.76
Sn 0.8397 0.7500 0.5000  4 Pd 2.74-2.76
Pd 0.1177 0.5371 0.5897  3 Sn 2.68-2.76, 1 Pd 2.91, 1 Eu 2.99
Pd 0.1177 0.5371 0.9103  3 Sn 2.68-2.76, 1 Pd 2.91, 1 Eu 2.99
Pd 0.1177 0.9629 0.0897  3 Sn 2.68-2.76, 1 Pd 2.91, 1 Eu 2.99
Pd 0.1177 0.9629 0.4103  3 Sn 2.68-2.76, 1 Pd 2.91, 1 Eu 2.99
Pd 0.8823 0.0371 0.5897  3 Sn 2.68-2.76, 1 Pd 2.91, 1 Eu 2.99
Pd 0.8823 0.0371 0.9103  3 Sn 2.68-2.76, 1 Pd 2.91, 1 Eu 2.99
Pd 0.8823 0.4629 0.0897  3 Sn 2.68-2.76, 1 Pd 2.91, 1 Eu 2.99
Pd 0.8823 0.4629 0.4103  3 Sn 2.68-2.76, 1 Pd 2.91, 1 Eu 2.99

Formation enthalpy at 0 K in eV per formula unit: -6.11

---

CsY2SiAu: PBEsol geometry, meta-GGA SCAN.

abc: 5.5093 5.5093 4.8362
angles: 90.00 90.00 90.00
Closest atoms and distances in Å follow each position.
Positions (direct):
Cs 0.0000 0.0000 0.0000  8 Y 3.67, 4 Au 3.90
Y 0.0000 0.5000 0.5000  2 Si 2.75
Y 0.5000 0.0000 0.5000  2 Si 2.75
Si 0.5000 0.5000 0.5000  2 Au 2.42
Au 0.5000 0.5000 0.0000  2 Si 2.42

ΔE_f (raw) in kcal/mol of atoms: 2.87

---

LaMo2Se: PBEsol geometry, meta-GGA SCAN.

abc: 5.1300 5.1300 4.9751
angles: 101.56 101.56 39.05
Closest atoms and distances in Å follow each position.
Positions (direct):
La 0.0000 0.0000 0.0000  4 Se 3.02, 6 Mo 3.06-3.28
Mo 0.2297 0.2297 0.6617  2 Mo 2.44
Mo 0.7703 0.7703 0.3383  2 Mo 2.44
Se 0.5000 0.5000 0.5000  6 Mo 2.79-2.89, 4 La 3.02

ΔE_f (raw) in kcal/mol of atoms: 1.92

---

In2TeI: PBEsol geometry, meta-GGA SCAN.

abc: 5.4938 5.4938 5.4938
angles: 60.00 60.00 60.00
Closest atoms and distances in Å follow each position.
Positions (direct):
In 0.2500 0.2500 0.2500  4 Te 3.36, 4 I 3.36
In 0.7500 0.7500 0.7500  4 Te 3.36, 4 I 3.36
Te 0.0000 0.0000 0.0000  8 In 3.36
I 0.5000 0.5000 0.5000  8 In 3.36

ΔE_f (raw) in kcal/mol of atoms: -2.75

---

TcOs2W: PBEsol geometry, meta-GGA SCAN.

abc: 3.2347 3.2347 5.6073
angles: 90.00 90.00 90.00
Closest atoms and distances in Å follow each position.
Positions (direct):
Tc 0.0000 0.0000 0.0000  8 Os 2.67, 2 W 2.80
Os 0.5000 0.5000 0.2462  4 Tc 2.67, 4 W 2.69, 2 Os 2.76-2.85
Os 0.5000 0.5000 0.7538  4 Tc 2.67, 4 W 2.69, 2 Os 2.76-2.85
W 0.0000 0.0000 0.5000  8 Os 2.69, 2 Tc 2.80

Distance to the lowest polymorph of the same formula in kJ/mol of atoms: 36.06
Formation enthalpy at 0 K in eV per formula unit: 1.52

---

Sc2Ni21B6: PBEsol geometry, meta-GGA SCAN.

abc: 7.3735 7.3735 7.3735
angles: 60.00 60.00 60.00
Closest atoms and distances in Å follow each position.
Positions (direct):
Sc 0.2500 0.2500 0.2500  4 Ni 2.44
Sc 0.7500 0.7500 0.7500  4 Ni 2.44
Ni 0.0000 0.0000 0.0000  12 Ni 2.49
Ni 0.0000 0.0000 0.3383  2 B 2.06
Ni 0.0000 0.0000 0.6617  2 B 2.06
Ni 0.0000 0.3383 0.0000  2 B 2.06
Ni 0.0000 0.3383 0.6617  2 B 2.06
Ni 0.0000 0.6617 0.0000  2 B 2.06
Ni 0.0000 0.6617 0.3383  2 B 2.06
Ni 0.1559 0.6147 0.6147  3 B 2.07
Ni 0.3383 0.0000 0.0000  2 B 2.06
Ni 0.3383 0.0000 0.6617  2 B 2.06
Ni 0.3383 0.6617 0.0000  2 B 2.06
Ni 0.3853 0.3853 0.3853  3 B 2.07
Ni 0.3853 0.3853 0.8441  3 B 2.07
Ni 0.3853 0.8441 0.3853  3 B 2.07
Ni 0.6147 0.1559 0.6147  3 B 2.07
Ni 0.6147 0.6147 0.1559  3 B 2.07
Ni 0.6147 0.6147 0.6147  3 B 2.07
Ni 0.6617 0.0000 0.0000  2 B 2.06
Ni 0.6617 0.0000 0.3383  2 B 2.06
Ni 0.6617 0.3383 0.0000  2 B 2.06
Ni 0.8441 0.3853 0.3853  3 B 2.07
B 0.2705 0.2705 0.7295  8 Ni 2.06-2.07
B 0.2705 0.7295 0.2705  8 Ni 2.06-2.07
B 0.2705 0.7295 0.7295  8 Ni 2.06-2.07
B 0.7295 0.2705 0.2705  8 Ni 2.06-2.07
B 0.7295 0.2705 0.7295  8 Ni 2.06-2.07
B 0.7295 0.7295 0.2705  8 Ni 2.06-2.07

Formation enthalpy at 0 K in eV per formula unit: -10.77

---

ZrCdPb2: PBEsol geometry, meta-GGA SCAN.

abc: 5.9851 5.9851 5.4068
angles: 109.42 109.42 31.69
Closest atoms and distances in Å follow each position.
Positions (direct):
Zr 0.0000 0.0000 0.0000  7 Pb 3.12-3.21, 2 Cd 3.13, 2 Zr 3.27
Cd 0.2750 0.2750 0.6294  7 Pb 3.11-3.23, 2 Zr 3.13, 2 Cd 3.27
Pb 0.5197 0.5197 0.5049  3 Cd 3.11-3.23, 4 Zr 3.12-3.21, 3 Pb 3.27-3.40
Pb 0.7484 0.7484 0.1050  3 Zr 3.14-3.17, 4 Cd 3.15-3.19, 3 Pb 3.27-3.40

Formation enthalpy at 0 K in eV per formula unit: -0.49

---

Zr6CI12: PBEsol geometry, meta-GGA SCAN.

abc: 8.9559 8.9559 8.9559
angles: 106.93 106.93 106.93
Closest atoms and distances in Å follow each position.
Positions (direct):
Zr 0.2279 0.4748 0.4121  1 C 2.25
Zr 0.4121 0.2279 0.4748  1 C 2.25
Zr 0.4748 0.4121 0.2279  1 C 2.25
Zr 0.5252 0.5879 0.7721  1 C 2.25
Zr 0.5879 0.7721 0.5252  1 C 2.25
Zr 0.7721 0.5252 0.5879  1 C 2.25
C 0.5000 0.5000 0.5000  6 Zr 2.25
I 0.0512 0.1270 0.3552  2 Zr 2.85-2.86
I 0.1270 0.3552 0.0512  2 Zr 2.85-2.86
I 0.1858 0.5814 0.7303  2 Zr 2.90-2.93
I 0.2697 0.8142 0.4186  2 Zr 2.90-2.93
I 0.3552 0.0512 0.1270  2 Zr 2.85-2.86
I 0.4186 0.2697 0.8142  2 Zr 2.90-2.93
I 0.5814 0.7303 0.1858  2 Zr 2.90-2.93
I 0.6448 0.9488 0.8730  2 Zr 2.85-2.86
I 0.7303 0.1858 0.5814  2 Zr 2.90-2.93
I 0.8142 0.4186 0.2697  2 Zr 2.90-2.93
I 0.8730 0.6448 0.9488  2 Zr 2.85-2.86
I 0.9488 0.8730 0.6448  2 Zr 2.85-2.86

ΔE_f (raw) in kcal/mol of atoms: -23.85

---

For the records above, the corresponding total magnetic moment values read 0.000; 0.212; 1.341; 0.827; 1.224; 0.000; 0.006; 0.000; 1.231; 0.000; 0.790; 0.000; 3.027; 0.027; 0.000; 0.000; 0.000; 0.000; 0.000; 0.000 μB/atom.